The following is a DFT calculation (PBE) of Na2SmIrO6 after structural relaxation.

Energy: -6.218 eV per atom
Total magnetic moment: 0.00 μB/f.u.
Raw formation energy: -1.621 eV per atom

abc: 5.691 5.818 8.144
angles: 90.00 90.52 90.00
Atoms (fractional coordinates):
Na (0.010, 0.960, 0.250)
Na (0.510, 0.540, 0.750)
Na (0.990, 0.040, 0.750)
Na (0.490, 0.460, 0.250)
Sm (0.500, 0.000, 0.000)
Sm (0.000, 0.500, 0.500)
Ir (0.500, 0.000, 0.500)
Ir (0.000, 0.500, 0.000)
O (0.273, 0.682, 0.046)
O (0.773, 0.818, 0.546)
O (0.727, 0.318, 0.954)
O (0.227, 0.182, 0.454)
O (0.325, 0.728, 0.448)
O (0.825, 0.772, 0.948)
O (0.675, 0.272, 0.552)
O (0.175, 0.228, 0.052)
O (0.908, 0.529, 0.225)
O (0.408, 0.971, 0.725)
O (0.092, 0.471, 0.775)
O (0.592, 0.029, 0.275)

---

The following is a DFT calculation (PBE) of NaSm2IrO6 after structural relaxation.

Energy: -7.173 eV per atom
Total magnetic moment: 2.03 μB/f.u.
Raw formation energy: -2.237 eV per atom

abc: 5.939 5.505 9.594
angles: 56.21 90.00 90.00
Atoms (fractional coordinates):
Na (0.500, 0.000, 0.500)
Na (0.000, 0.000, 0.000)
Sm (0.075, 0.779, 0.745)
Sm (0.575, 0.221, 0.755)
Sm (0.425, 0.779, 0.245)
Sm (0.925, 0.221, 0.255)
Ir (0.500, 0.500, 0.000)
Ir (0.000, 0.500, 0.500)
O (0.717, 0.736, 0.425)
O (0.217, 0.264, 0.075)
O (0.283, 0.264, 0.575)
O (0.783, 0.736, 0.925)
O (0.057, 0.601, 0.269)
O (0.557, 0.399, 0.231)
O (0.943, 0.399, 0.731)
O (0.443, 0.601, 0.769)
O (0.326, 0.853, 0.945)
O (0.826, 0.147, 0.555)
O (0.674, 0.147, 0.055)
O (0.174, 0.853, 0.445)

---

The following is a DFT calculation (PBE) of Na2Sm2IrO6 after structural relaxation.

Energy: -6.675 eV per atom
Total magnetic moment: 1.05 μB/f.u.
Raw formation energy: -2.067 eV per atom

abc: 5.879 5.879 5.914
angles: 96.86 96.86 120.35
Atoms (fractional coordinates):
Na (0.862, 0.138, 0.000)
Na (0.138, 0.862, 0.000)
Sm (0.338, 0.662, 0.500)
Sm (0.662, 0.338, 0.500)
Ir (0.000, 0.000, 0.500)
O (0.754, 0.754, 0.707)
O (0.035, 0.342, 0.691)
O (0.246, 0.246, 0.293)
O (0.342, 0.035, 0.691)
O (0.965, 0.658, 0.309)
O (0.658, 0.965, 0.309)

---

The following is a DFT calculation (PBE) of NaSnIrO6 after structural relaxation.

Energy: -5.895 eV per atom
Total magnetic moment: 0.77 μB/f.u.
Raw formation energy: -1.014 eV per atom

abc: 5.381 5.381 10.126
angles: 90.00 90.00 120.00
Atoms (fractional coordinates):
Na (0.000, 0.000, 0.000)
Na (0.000, 0.000, 0.500)
Sn (0.333, 0.667, 0.250)
Sn (0.667, 0.333, 0.750)
Ir (0.667, 0.333, 0.250)
Ir (0.333, 0.667, 0.750)
O (0.639, 0.614, 0.143)
O (0.975, 0.361, 0.143)
O (0.361, 0.975, 0.643)
O (0.025, 0.639, 0.857)
O (0.386, 0.361, 0.357)
O (0.975, 0.614, 0.357)
O (0.614, 0.975, 0.857)
O (0.639, 0.025, 0.357)
O (0.025, 0.386, 0.643)
O (0.386, 0.025, 0.143)
O (0.614, 0.639, 0.643)
O (0.361, 0.386, 0.857)

---

The following is a DFT calculation (PBE) of NaSnIrO4 after structural relaxation.

Energy: -6.147 eV per atom
Total magnetic moment: 0.00 μB/f.u.
Raw formation energy: -1.288 eV per atom

abc: 6.557 6.423 6.456
angles: 120.17 90.00 120.69
Atoms (fractional coordinates):
Na (0.879, 0.758, 0.129)
Na (0.121, 0.242, 0.871)
Sn (0.500, 0.000, 0.500)
Sn (0.500, 0.000, 0.000)
Ir (0.500, 0.500, 0.500)
Ir (0.000, 0.500, 0.500)
O (0.735, 0.469, 0.687)
O (0.302, 0.036, 0.268)
O (0.734, 0.036, 0.268)
O (0.735, 0.469, 0.283)
O (0.265, 0.531, 0.717)
O (0.698, 0.964, 0.732)
O (0.266, 0.964, 0.732)
O (0.265, 0.531, 0.313)

---

The following is a DFT calculation (PBE) of NaSrIr2O8 after structural relaxation.

Energy: -5.824 eV per atom
Total magnetic moment: 0.00 μB/f.u.
Raw formation energy: -0.792 eV per atom

abc: 6.049 6.049 6.806
angles: 90.00 90.00 120.00
Atoms (fractional coordinates):
Na (0.000, 0.000, 0.500)
Sr (0.000, 0.000, 0.000)
Ir (0.667, 0.333, 0.027)
Ir (0.333, 0.667, 0.973)
O (0.922, 0.598, 0.871)
O (0.402, 0.324, 0.871)
O (0.676, 0.078, 0.871)
O (0.078, 0.402, 0.129)
O (0.598, 0.676, 0.129)
O (0.324, 0.922, 0.129)
O (0.667, 0.333, 0.287)
O (0.333, 0.667, 0.713)

---

The following is a DFT calculation (PBE) of NaSrIrO6 after structural relaxation.

Energy: -5.740 eV per atom
Total magnetic moment: 0.10 μB/f.u.
Raw formation energy: -1.116 eV per atom

abc: 5.038 5.642 5.642
angles: 120.00 90.00 90.00
Atoms (fractional coordinates):
Na (0.500, 0.667, 0.333)
Sr (0.000, 0.333, 0.667)
Ir (0.500, 0.000, 0.000)
O (0.713, 0.728, 0.730)
O (0.713, 0.270, 0.998)
O (0.713, 0.002, 0.272)
O (0.287, 0.270, 0.272)
O (0.287, 0.728, 0.998)
O (0.287, 0.002, 0.730)

---

The following is a DFT calculation (PBE) of Na3Sr2IrO6 after structural relaxation.

Energy: -5.552 eV per atom
Total magnetic moment: 2.01 μB/f.u.
Raw formation energy: -1.725 eV per atom

abc: 6.041 6.041 5.897
angles: 99.26 99.26 120.73
Atoms (fractional coordinates):
Na (0.143, 0.857, 0.500)
Na (0.857, 0.143, 0.500)
Na (0.500, 0.500, 0.500)
Sr (0.331, 0.669, 0.000)
Sr (0.669, 0.331, 0.000)
Ir (0.000, 0.000, 0.000)
O (0.930, 0.656, 0.783)
O (0.785, 0.785, 0.205)
O (0.070, 0.344, 0.217)
O (0.656, 0.930, 0.783)
O (0.215, 0.215, 0.795)
O (0.344, 0.070, 0.217)